# 1
The following is a DFT calculation (GGA-PBE) of a relaxed TlIn2Si crystal.

Cell: 3.415 4.067 7.456 Å, 90.00 92.78 90.00°
Fractional coordinates of all 4 atoms:
Tl: 0.000 0.000 0.000
In: 0.458 0.500 0.704
In: 0.928 0.000 0.444
Si: 0.418 0.500 0.284

SG	Pm (6)
formation energy (no corrections)	263	meV/atom

***

# 2
The following is a DFT calculation (GGA-PBE) of a relaxed TlIn2Si2 crystal.

Cell: 6.650 6.650 6.650 Å, 138.74 138.74 59.77°
Fractional coordinates of all 5 atoms:
Tl: 0.000 0.000 0.000
In: 0.377 0.377 0.000
In: 0.623 0.623 0.000
Si: 0.250 0.750 0.500
Si: 0.750 0.250 0.500

energy above the lowest structure with this stoichiometry	0.140	eV/atom
SG	I4/mmm (139)
formation energy (no corrections)	365	meV/atom

***

# 3
The following is a DFT calculation (GGA-PBE) of a relaxed TlInSi2 crystal.

Cell: 7.498 7.498 7.498 Å, 131.60 131.60 70.86°
Fractional coordinates of all 8 atoms:
Tl: 0.000 0.000 0.000
Tl: 0.750 0.250 0.500
In: 0.250 0.750 0.500
In: 0.500 0.500 0.000
Si: 0.131 0.625 0.006
Si: 0.375 0.381 0.506
Si: 0.619 0.125 0.994
Si: 0.875 0.869 0.494

energy above the lowest structure with this stoichiometry	0.005	eV/atom
SG	I-42d (122)
formation energy (no corrections)	595	meV/atom

***

# 4
The following is a DFT calculation (GGA-PBE) of a relaxed TlIn2Si2 crystal.

Cell: 7.639 7.639 4.072 Å, 90.00 90.00 90.00°
Fractional coordinates of all 10 atoms:
Tl: 0.000 0.000 0.000
Tl: 0.500 0.500 0.000
In: 0.183 0.317 0.500
In: 0.317 0.817 0.500
In: 0.683 0.183 0.500
In: 0.817 0.683 0.500
Si: 0.111 0.611 0.000
Si: 0.389 0.111 0.000
Si: 0.611 0.889 0.000
Si: 0.889 0.389 0.000

energy above the lowest structure with this stoichiometry	0.109	eV/atom
SG	P4/mbm (127)
formation energy (no corrections)	333	meV/atom

***

Number 1: energy -12.214 eV per cell. Number 2: energy -16.867 eV per cell. Number 3: energy -27.144 eV per cell. Number 4: energy -34.046 eV per cell.